Here is an optimized crystal structure of KRb2Pb from Alexandria. Energies are from GGA-PBE.

The structure in POSCAR format:
```
KRb2Pb
1.0
4.389 0.000 0.000
0.000 4.389 0.000
0.000 0.000 12.244
Pb K Rb
1 1 2
Direct
0.500 0.500 0.000
0.500 0.500 0.500
0.000 0.000 0.813
0.000 0.000 0.187
```

Results
As for the magnetization: 0.26 Bohr magnetons per cell. Its formation enthalpy at 0 K is 32 meV/atom. As for the calculated total energy: -1.653 eV per atom. As for the energy relative to the lowest polymorph listed for this composition: 108 meV per atom. The density of states at the Fermi level is 1.06 states/eV/atom.